Entry 1:
PBE-GGA Pm4Ga2Ge5, optimized geometry; E_tot = -5.116 eV per atom; total magnetic moment = 0.0 Bohr magnetons per cell
1.0
7.0662 0.0000 0.0000
0.0000 4.3123 0.0000
-0.0811 0.0000 8.2201
Pm Ga Ge
4 2 5
Cartesian
1.6521 0.0000 1.0629
1.7243 0.0000 5.1154
5.2609 0.0000 3.1046
5.3331 0.0000 7.1572
0.6063 2.1561 3.0663
6.3789 2.1561 5.1538
0.7477 2.1561 7.2288
3.1212 2.1561 2.8362
3.5331 2.1561 0.0000
3.8640 2.1561 5.3839
6.2374 2.1561 0.9912

Entry 2:
PBE-GGA Pr4Ga3Ge, optimized geometry; E_tot = -4.766 eV per atom; total magnetic moment = 0.7 Bohr magnetons per cell
1.0
4.1458 0.0000 0.0000
0.0000 4.5120 0.0000
0.0000 0.0000 11.4312
Pr Ga Ge
4 3 1
Cartesian
0.0000 0.0000 0.0000
0.0000 2.2560 5.6975
2.0729 0.0000 3.2054
2.0729 2.2560 8.9317
0.0000 0.0000 8.1476
0.0000 2.2560 2.4120
2.0729 0.0000 6.5071
2.0729 2.2560 0.7543

Q: Which of these has the highest total magnetic moment?
A: Pr4Ga3Ge

Q: What is the total magnetic moment in the first record?
A: 0.0 Bohr magnetons per cell